First-principles (GGA-PBE) data for crystalline LiPd4Pt at its relaxed geometry, as listed in Alexandria via LeMat-Bulk.

* energy above the lowest structure with this stoichiometry: 3.91 eV per formula unit

Unit cell a=8.955 b=8.967 c=2.699 alpha=90.00 beta=90.00 gamma=90.00
Space group Cmmm (No. 65)
Symmetry-distinct sites (fractional):
Li: 0.000 0.000 0.000
Pd: 0.000 0.212 0.500
Pd: 0.246 0.000 0.000
Pt: 0.000 0.500 0.500

---

First-principles (GGA-PBE) data for crystalline LiPd6Pt2 at its relaxed geometry, as listed in Alexandria via LeMat-Bulk.

* energy above the lowest structure with this stoichiometry: 2.40 eV per formula unit

Unit cell a=5.4830 b=5.4830 c=16.4703 alpha=90.00 beta=90.00 gamma=120.00
Space group R3m (No. 160, hexagonal axes)
Symmetry-distinct sites (fractional):
Li: 0.0000 0.0000 0.0000
Pd: 0.1705 0.3410 0.9007
Pd: 0.1731 0.3462 0.0982
Pt: 0.0000 0.0000 0.5914
Pt: 0.0000 0.0000 0.7515

---

First-principles (GGA-PBE) data for crystalline Li6PdPt at its relaxed geometry, as listed in Alexandria via LeMat-Bulk.

* energy above the lowest structure with this stoichiometry: 0.00 eV per formula unit

Unit cell a=7.002 b=5.462 c=7.266 alpha=90.00 beta=105.99 gamma=90.00
Space group C2/m (No. 12)
Symmetry-distinct sites (fractional):
Li: 0.134 0.000 0.415
Li: 0.197 0.249 0.810
Pd: 0.000 0.500 0.500
Pt: 0.000 0.000 0.000

---

First-principles (GGA-PBE) data for crystalline Li2Pd2Pt at its relaxed geometry, as listed in Alexandria via LeMat-Bulk.

* energy above the lowest structure with this stoichiometry: 0.00 eV per formula unit

Unit cell a=6.830 b=6.830 c=2.874 alpha=90.00 beta=90.00 gamma=90.00
Space group P4/mbm (No. 127)
Symmetry-distinct sites (fractional):
Li: 0.123 0.377 0.000
Pd: 0.180 0.680 0.500
Pt: 0.000 0.000 0.000

---

First-principles (GGA-PBE) data for crystalline Li6PdPt at its relaxed geometry, as listed in Alexandria via LeMat-Bulk.

* energy above the lowest structure with this stoichiometry: 0.07 eV per formula unit

Unit cell a=5.701 b=9.638 c=5.614 alpha=90.00 beta=120.03 gamma=90.00
Space group C2/m (No. 12)
Symmetry-distinct sites (fractional):
Li: 0.249 0.000 0.250
Li: 0.249 0.217 0.748
Pd: 0.000 0.500 0.000
Pt: 0.000 0.000 0.500

---

First-principles (GGA-PBE) data for crystalline Li2PdPt9 at its relaxed geometry, as listed in Alexandria via LeMat-Bulk.

* uncorrected energy: -5.5790 eV/atom

Unit cell a=3.895 b=3.895 c=11.812 alpha=90.00 beta=90.00 gamma=90.00
Space group P4/mmm (No. 123)
Symmetry-distinct sites (fractional):
Li: 0.000 0.000 0.163
Pd: 0.000 0.000 0.500
Pt: 0.000 0.500 0.000
Pt: 0.000 0.500 0.327
Pt: 0.500 0.500 0.163
Pt: 0.500 0.500 0.500

---

First-principles (GGA-PBE) data for crystalline Li2Pd2Pt at its relaxed geometry, as listed in Alexandria via LeMat-Bulk.

* energy above the lowest structure with this stoichiometry: 0.42 eV per formula unit

Unit cell a=7.084 b=7.084 c=2.825 alpha=90.00 beta=90.00 gamma=90.00
Space group P4/mbm (No. 127)
Symmetry-distinct sites (fractional):
Li: 0.164 0.336 0.000
Pd: 0.137 0.637 0.500
Pt: 0.000 0.000 0.500

---

First-principles (GGA-PBE) data for crystalline Li2Pd7Pt at its relaxed geometry, as listed in Alexandria via LeMat-Bulk.

* uncorrected energy: -4.2873 eV/atom

Unit cell a=7.190 b=12.129 c=4.021 alpha=90.00 beta=90.00 gamma=90.00
Space group Cmmm (No. 65)
Symmetry-distinct sites (fractional):
Li: 0.000 0.191 0.000
Pd: 0.000 0.000 0.000
Pd: 0.000 0.281 0.500
Pd: 0.188 0.384 0.000
Pt: 0.000 0.500 0.500

---

First-principles (GGA-PBE) data for crystalline LiPd2Pt2 at its relaxed geometry, as listed in Alexandria via LeMat-Bulk.

* energy above the lowest structure with this stoichiometry: 1.98 eV per formula unit

Unit cell a=3.732 b=3.732 c=12.907 alpha=90.00 beta=90.00 gamma=90.00
Space group I4/mmm (No. 139)
Symmetry-distinct sites (fractional):
Li: 0.000 0.000 0.000
Pd: 0.000 0.000 0.402
Pt: 0.000 0.500 0.250

---

First-principles (GGA-PBE) data for crystalline Li2PdPt at its relaxed geometry, as listed in Alexandria via LeMat-Bulk.

* uncorrected energy: -3.9296 eV/atom

Unit cell a=6.621 b=6.621 c=5.349 alpha=90.00 beta=90.00 gamma=90.00
Space group I-42d (No. 122)
Symmetry-distinct sites (fractional):
Li: 0.248 0.250 0.125
Pd: 0.000 0.000 0.000
Pt: 0.000 0.000 0.500

---

First-principles (GGA-PBE) data for crystalline LiPdPt2 at its relaxed geometry, as listed in Alexandria via LeMat-Bulk.

* uncorrected energy: -5.0128 eV/atom

Unit cell a=2.854 b=2.854 c=6.950 alpha=90.00 beta=90.00 gamma=90.00
Space group P4/mmm (No. 123)
Symmetry-distinct sites (fractional):
Li: 0.000 0.000 0.000
Pd: 0.000 0.000 0.500
Pt: 0.500 0.500 0.220

---

First-principles (GGA-PBE) data for crystalline Li8PdPt2 at its relaxed geometry, as listed in Alexandria via LeMat-Bulk.

* energy above the lowest structure with this stoichiometry: 0.00 eV per formula unit

Unit cell a=4.289 b=7.232 c=10.623 alpha=90.00 beta=90.00 gamma=90.00
Space group Immm (No. 71)
Symmetry-distinct sites (fractional):
Li: 0.000 0.000 0.138
Li: 0.000 0.198 0.345
Li: 0.000 0.324 0.000
Pd: 0.000 0.500 0.500
Pt: 0.000 0.500 0.222

---

Result set for total magnetization: 0.00, 0.00, 0.00, 0.00, 0.00, 0.00, 0.00, 0.00, 0.00, 0.00, 0.00, 0.00 μB/f.u., one per record in the order listed.